# Li3Cr3NiO8 | the Alexandria database | PBE with a Hubbard U | relaxed
# Energy in eV/atom: -6.46
data_Li3Cr3NiO8
_chemical_formula_sum 'Li9 Cr9 Ni3 O24'
_symmetry_space_group_name_H-M 'R -3 m'
_symmetry_Int_Tables_number 166
_symmetry_space_group_name_Hall '-R 3 2"'
_cell_length_a 5.8719
_cell_length_b 5.8719
_cell_length_c 14.5366
_cell_angle_alpha 90.00
_cell_angle_beta 90.00
_cell_angle_gamma 120.00
loop_
_atom_site_label
_atom_site_type_symbol
_atom_site_fract_x
_atom_site_fract_y
_atom_site_fract_z
_atom_site_occupancy
Li1 Li 0.0000 0.5000 0.0000 1
Cr1 Cr 0.0000 0.5000 0.5000 1
Ni1 Ni 0.0000 0.0000 0.5000 1
O1 O 0.0000 0.0000 0.2418 1
O2 O 0.0164 0.5082 0.2379 1